Record 1
{"formula": "Mn4ZnMo", "functional": "PBEsol", "state": "relaxed", "lattice_angstrom": [[4.638, 0.000, 0.000], [2.319, 4.017, 0.000], [2.319, 1.339, 3.787]], "species": ["Zn", "Mn", "Mn", "Mn", "Mn", "Mo"], "fractional_positions": [[0.000, 0.000, 0.000], [0.878, 0.374, 0.374], [0.374, 0.374, 0.878], [0.374, 0.878, 0.374], [0.374, 0.374, 0.374], [0.750, 0.750, 0.750]], "sg": "F-43m, No. 216", "dos_at_fermi_per_ev_cell": 7.39, "dft_energy_ev_per_atom": -8.6762, "total_magnetization_mub_per_fu": 2.338}

---

Record 2
{"formula": "Zr2TcMo", "functional": "PBEsol", "state": "relaxed", "lattice_angstrom": [[3.149, 0.000, 0.000], [0.000, 3.149, 0.000], [0.000, 0.000, 7.228]], "species": ["Mo", "Tc", "Zr", "Zr"], "fractional_positions": [[0.000, 0.000, 0.530], [0.500, 0.500, 0.725], [0.000, 0.000, 0.974], [0.500, 0.500, 0.270]], "sg": "P4mm, No. 99", "dos_at_fermi_per_ev_cell": 4.13, "dft_energy_ev_per_atom": -10.3720, "total_magnetization_mub_per_fu": 0.000}

---

Record 3
{"formula": "LiSi4Ni", "functional": "PBEsol", "state": "relaxed", "lattice_angstrom": [[-1.797, -0.842, -4.475], [-1.604, -4.468, -1.193], [-4.792, -0.800, -0.602]], "species": ["Si", "Si", "Si", "Si", "Li", "Ni"], "fractional_positions": [[0.875, 0.375, 0.375], [0.375, 0.375, 0.375], [0.375, 0.875, 0.375], [0.375, 0.375, 0.875], [0.750, 0.750, 0.750], [0.000, 0.000, 0.000]], "sg": "F-43m, No. 216", "dos_at_fermi_per_ev_cell": 2.80, "formation_energy_uncorrected_kj_per_mol_fu": 139, "total_magnetization_mub_per_fu": 0.000}